The following is a GGA+U calculation of a geometry-optimized Ca3Mn2Si4O14 structure, from Alexandria via LeMat-Bulk.

extended XYZ file:
```
46
Lattice="8.5794 -3.8758 0.0000 8.5794 3.8758 0.0000 -5.5820 0.0000 8.5073" Properties=species:S:1:pos:R:3 pbc="T T T"
Ca 4.3929 2.6814 6.3805
Ca 2.1996 0.2782 4.5995
Ca 4.9906 -0.2782 0.3459
Ca 6.5862 0.2782 8.1614
Ca 9.3773 -0.2782 3.9078
Ca 7.1839 -2.6814 2.1268
Mn 7.1839 1.6640 2.1268
Mn 8.5794 0.0000 0.0000
Mn 5.7884 0.0000 4.2536
Mn 4.3929 -1.6640 6.3805
Si 4.4284 2.6579 3.0145
Si 0.8403 2.2219 7.1577
Si 9.9395 2.6579 1.2391
Si 7.9455 2.2219 5.6032
Si 3.6313 -2.2219 2.9040
Si 1.6373 -2.6579 7.2681
Si 10.7366 -2.2219 1.3496
Si 7.1485 -2.6579 5.4928
O 3.7511 2.1281 1.5749
O 1.6620 2.2284 5.7690
O 5.9352 3.1382 2.6404
O 8.4327 3.1382 1.6132
O 2.3249 0.0903 0.7929
O -0.4661 -0.0903 5.0465
O 4.2836 1.6441 4.2814
O 1.3319 1.2372 8.3543
O 4.5022 1.6441 8.4796
O 5.8687 0.2999 2.3911
O 7.1238 2.2284 6.9919
O 7.4539 1.2372 4.4066
O 10.6168 2.1281 2.6787
O 3.0777 -0.2999 6.6447
O 8.4992 0.2999 1.8626
O 0.9601 -2.1281 5.8286
O 4.1230 -1.2372 4.1006
O 4.4531 -2.2284 1.5154
O 5.7082 -0.2999 6.1162
O 7.0747 -1.6441 0.0277
O 10.2449 -1.2372 0.1530
O 7.2932 -1.6441 4.2259
O 12.0430 0.0903 3.4608
O 9.2519 -0.0903 7.7144
O 3.1442 -3.1382 6.8941
O 5.6417 -3.1382 5.8668
O 9.9148 -2.2284 2.7383
O 7.8257 -2.1281 6.9324
```

Summary:
symmetry = C2/c, No. 15
total moment = 8.00 μB per formula unit
crystal system = monoclinic
final energy = -7.547 eV per atom
ρ = 3.32 g cm⁻³


The following is a GGA+U calculation of a geometry-optimized CaSmMn2O6 structure, from Alexandria via LeMat-Bulk.

extended XYZ file:
```
20
Lattice="7.6297 0.0000 0.0000 0.0000 5.5507 0.0000 0.0000 0.0000 5.4083" Properties=species:S:1:pos:R:3 pbc="T T T"
Ca 0.0000 1.1131 0.0000
Ca 3.8148 4.4376 2.7042
Sm 0.0000 3.8629 2.5765
Sm 3.8148 1.6878 5.2807
Mn 1.9061 1.3701 2.6453
Mn 1.9088 4.1806 5.3495
Mn 5.7236 1.3701 2.6453
Mn 5.7209 4.1806 5.3495
O 0.0000 1.5247 3.0969
O 0.0000 4.2920 4.8764
O 1.5665 5.3004 1.5398
O 1.5694 2.5533 1.0777
O 2.2455 2.9975 3.7819
O 2.2483 0.2503 4.2439
O 3.8148 1.2587 2.1722
O 3.8148 4.0260 0.3927
O 5.3813 0.2503 4.2439
O 5.3842 2.9975 3.7819
O 6.0603 2.5533 1.0777
O 6.0631 5.3004 1.5398
```

Summary:
symmetry = Pmn2_1, No. 31
total moment = 7.00 μB per formula unit
crystal system = orthorhombic
final energy = -7.487 eV per atom
ρ = 5.75 g cm⁻³


The following is a GGA+U calculation of a geometry-optimized Ca3SmMn4O12 structure, from Alexandria via LeMat-Bulk.

extended XYZ file:
```
20
Lattice="5.3694 0.0000 0.0000 0.0000 7.6295 0.0000 -0.0088 0.0000 5.4611" Properties=species:S:1:pos:R:3 pbc="T T T"
Ca 0.0000 0.0000 0.0000
Ca 0.1125 3.8148 0.4986
Ca 2.7892 0.0000 2.7235
Sm 2.6846 3.8148 3.2455
Mn 0.0483 1.8845 2.9726
Mn 0.0483 5.7451 2.9726
Mn 2.7474 1.8858 0.2564
Mn 2.7474 5.7437 0.2564
O 0.4815 0.0000 3.1190
O 1.2005 2.2742 4.5323
O 1.2005 5.3553 4.5323
O 1.6271 2.2272 1.8360
O 1.6271 5.4023 1.8360
O 2.3017 0.0000 0.3511
O 3.1680 3.8148 0.1569
O 3.8268 1.6317 4.0919
O 3.8268 5.9978 4.0919
O 4.3160 1.5837 1.3809
O 4.3160 6.0458 1.3809
O 4.9982 3.8148 2.8664
```

Summary:
symmetry = Pm, No. 6
total moment = 13.00 μB per formula unit
crystal system = monoclinic
final energy = -7.223 eV per atom
ρ = 5.06 g cm⁻³


The following is a GGA+U calculation of a geometry-optimized CaSmMn4O12 structure, from Alexandria via LeMat-Bulk.

extended XYZ file:
```
18
Lattice="5.3289 0.0000 0.0000 0.0000 5.3289 0.0000 0.0000 0.0000 7.5544" Properties=species:S:1:pos:R:3 pbc="T T T"
Ca 0.0000 0.0000 0.0000
Sm 2.6644 2.6644 3.7772
Mn 0.0000 2.6644 1.8680
Mn 0.0000 2.6644 5.6864
Mn 2.6644 0.0000 1.8680
Mn 2.6644 0.0000 5.6864
O 0.0000 2.6644 0.0000
O 0.0000 2.6644 3.7772
O 1.3602 1.3602 1.9618
O 1.3602 1.3602 5.5927
O 1.3602 3.9687 1.9618
O 1.3602 3.9687 5.5927
O 2.6644 0.0000 0.0000
O 2.6644 0.0000 3.7772
O 3.9687 1.3602 1.9618
O 3.9687 1.3602 5.5927
O 3.9687 3.9687 1.9618
O 3.9687 3.9687 5.5927
```

Summary:
symmetry = P4/mmm, No. 123
total moment = 15.48 μB per formula unit
crystal system = tetragonal
final energy = -6.779 eV per atom
ρ = 4.66 g cm⁻³


The following is a GGA+U calculation of a geometry-optimized SrCaSmMnO6 structure, from Alexandria via LeMat-Bulk.

extended XYZ file:
```
10
Lattice="0.0000 4.1373 4.1373 4.1373 0.0000 4.1373 4.1373 4.1373 0.0000" Properties=species:S:1:pos:R:3 pbc="T T T"
Sr 0.0000 0.0000 0.0000
Ca 4.1373 4.1373 4.1373
Sm 2.0687 2.0687 2.0687
Mn 6.2060 6.2060 6.2060
O 6.2060 6.2060 4.3091
O 6.2060 4.3091 6.2060
O 8.1029 6.2060 6.2060
O 4.3091 6.2060 6.2060
O 6.2060 8.1029 6.2060
O 6.2060 6.2060 8.1029
```

Summary:
symmetry = F-43m, No. 216
total moment = 4.00 μB per formula unit
crystal system = cubic
final energy = -6.847 eV per atom
ρ = 5.03 g cm⁻³


The following is a GGA+U calculation of a geometry-optimized CaSm4Ti2Mn2O12 structure, from Alexandria via LeMat-Bulk.

extended XYZ file:
```
21
Lattice="5.9346 0.0000 0.0000 0.8997 6.1963 0.0000 0.3958 -0.0411 7.5969" Properties=species:S:1:pos:R:3 pbc="T T T"
Ca 0.0000 0.0000 0.0000
Sm 1.3909 0.8493 4.4680
Sm 1.9139 2.1120 1.1338
Sm 4.1353 4.8395 0.7586
Sm 4.2704 3.8734 4.5521
Ti 1.2074 4.4931 2.7592
Ti 4.0762 1.2091 6.3374
Mn 1.1979 3.6660 6.1862
Mn 4.6887 1.1827 2.7598
O 1.2560 0.0209 2.0475
O 2.1078 4.7439 4.5755
O 2.3573 0.4250 6.7256
O 3.0838 3.5376 2.3383
O 3.3413 3.1639 6.8186
O 3.5051 1.6254 4.4042
O 4.0138 0.9264 0.8357
O 5.3826 5.2697 2.9783
O 5.5887 5.2238 6.1686
O 5.9288 1.9140 6.0299
O 6.2810 2.5592 3.1881
O 6.5172 4.0599 0.7440
```

Summary:
symmetry = P1, No. 1
total moment = 9.99 μB per formula unit
crystal system = triclinic
final energy = -8.038 eV per atom
ρ = 6.18 g cm⁻³


The following is a GGA+U calculation of a geometry-optimized CaMn2SnO6 structure, from Alexandria via LeMat-Bulk.

extended XYZ file:
```
10
Lattice="2.6777 1.5460 4.8770 -2.6777 1.5460 4.8770 0.0000 -3.0919 4.8770" Properties=species:S:1:pos:R:3 pbc="T T T"
Ca 0.0000 0.0000 0.0000
Mn 0.0000 0.0000 4.0193
Mn 0.0000 0.0000 11.5154
Sn 0.0000 0.0000 7.0360
O -1.5624 -0.3200 5.6146
O -1.0730 -1.5732 7.8851
O 1.0583 -1.1930 5.6146
O -0.8259 1.7158 7.8851
O 0.5040 1.5131 5.6146
O 1.8989 -0.1426 7.8851
```

Summary:
symmetry = R3, No. 146
total moment = 8.00 μB per formula unit
crystal system = trigonal
final energy = -6.957 eV per atom
ρ = 5.00 g cm⁻³


The following is a GGA+U calculation of a geometry-optimized CaMnSnO4 structure, from Alexandria via LeMat-Bulk.

extended XYZ file:
```
14
Lattice="-3.2370 3.2639 4.6956 3.2370 -3.2639 4.6956 3.2370 3.2639 -4.6956" Properties=species:S:1:pos:R:3 pbc="T T T"
Ca 0.0000 1.6319 1.0598
Ca 3.2370 1.6319 3.6358
Mn 3.2370 0.0000 0.0000
Mn 0.0000 0.0000 4.6956
Sn 1.6185 1.6319 -2.3478
Sn 1.6185 -1.6319 2.3478
O 3.2370 -0.2143 2.3047
O 1.7621 1.6319 -0.2833
O 4.7119 1.6319 -0.2833
O 3.2370 3.0496 -2.3047
O 0.0000 0.2143 7.0003
O -1.4749 1.6319 4.9789
O 1.4749 1.6319 4.9789
O 0.0000 3.4781 2.3909
```

Summary:
symmetry = Imma, No. 74
total moment = 5.00 μB per formula unit
crystal system = orthorhombic
final energy = -6.820 eV per atom
ρ = 4.65 g cm⁻³


The following is a GGA+U calculation of a geometry-optimized Ca2MnSnO4 structure, from Alexandria via LeMat-Bulk.

extended XYZ file:
```
16
Lattice="-3.4092 3.4655 4.8228 3.4092 -3.4655 4.8228 3.4092 3.4655 -4.8228" Properties=species:S:1:pos:R:3 pbc="T T T"
Ca 0.0000 0.0000 0.0000
Ca -1.7046 1.7328 2.4114
Ca 0.0000 3.4655 0.0000
Ca 1.7046 1.7328 2.4114
Mn 3.4092 0.0000 0.0000
Mn 0.0000 0.0000 4.8228
Sn 1.7046 1.7328 -2.4114
Sn 1.7046 -1.7328 2.4114
O 1.7401 1.7328 0.0541
O 5.0782 1.7328 0.0541
O 3.4092 0.1141 2.3507
O 0.0000 0.1141 2.4721
O 3.4092 3.3514 2.3507
O 0.0000 3.3514 2.4721
O -1.6690 1.7328 4.7686
O 1.6690 1.7328 4.7686
```

Summary:
symmetry = Imma, No. 74
total moment = 4.99 μB per formula unit
crystal system = orthorhombic
final energy = -6.451 eV per atom
ρ = 4.63 g cm⁻³


The following is a GGA+U calculation of a geometry-optimized Sr4Ca3MnO8 structure, from Alexandria via LeMat-Bulk.

extended XYZ file:
```
16
Lattice="3.5224 2.0337 5.7572 -3.5224 2.0337 5.7572 0.0000 -4.0673 5.7572" Properties=species:S:1:pos:R:3 pbc="T T T"
Sr 0.0000 0.0000 0.0000
Sr -1.7612 -1.0168 5.7572
Sr -1.7612 1.0168 11.5144
Sr 0.0000 2.0337 5.7572
Ca -3.5224 0.0000 8.6358
Ca -1.7612 1.0168 2.8786
Ca 1.7612 1.0168 2.8786
Mn 0.0000 0.0000 8.6358
O 0.0000 0.0000 4.2328
O -1.7438 -1.0068 9.9760
O 0.0000 -2.0136 7.2956
O -1.7438 1.0068 7.2956
O 1.7438 -1.0068 9.9760
O 0.0000 2.0136 9.9760
O 1.7438 1.0068 7.2956
O 0.0000 0.0000 13.0388
```

Summary:
symmetry = R-3m, No. 166
total moment = 5.00 μB per formula unit
crystal system = trigonal
final energy = -6.371 eV per atom
ρ = 4.39 g cm⁻³


The following is a GGA+U calculation of a geometry-optimized Sr6CaMn4O13 structure, from Alexandria via LeMat-Bulk.

extended XYZ file:
```
48
Lattice="6.9005 0.0000 0.0000 0.0000 9.9083 0.0000 -0.7322 0.0000 10.1868" Properties=species:S:1:pos:R:3 pbc="T T T"
Sr -0.1720 0.0000 2.5451
Sr 1.0798 6.3710 0.5770
Sr 0.7172 8.5216 5.6229
Sr 1.6504 9.8183 9.2322
Sr 2.0337 5.0729 4.1887
Sr 2.8132 6.6795 8.0300
Sr 3.3551 1.7254 2.1568
Sr 4.1346 0.1187 5.9981
Sr 4.5179 4.8641 0.9546
Sr 5.4511 3.5674 4.5640
Sr 5.0885 1.4168 9.6099
Sr 6.3403 4.9541 7.6418
Ca 3.1932 8.1451 2.9950
Ca 2.9751 3.1910 7.1918
Mn 0.0041 1.6709 6.8452
Mn 0.4030 3.3206 1.7260
Mn 1.5616 1.7375 4.7825
Mn 1.2074 3.1857 9.8193
Mn 4.9609 8.1398 0.3675
Mn 4.6067 6.6917 5.4044
Mn 5.7653 8.2748 8.4608
Mn 6.1642 6.6251 3.3416
O -0.5409 0.0255 7.6725
O -0.2854 1.0364 4.8409
O -0.6339 3.9086 9.9015
O 0.5211 7.4544 8.1027
O 0.9614 7.4215 3.0296
O 1.1671 1.7103 0.8018
O 0.8019 3.2480 5.9030
O 1.8728 0.9684 6.8215
O 2.2436 4.0545 1.6759
O 1.7996 4.5837 8.7044
O 2.1846 0.2276 3.8011
O 3.3501 7.1700 0.5955
O 2.9914 7.6594 5.6175
O 2.8182 2.2159 9.5914
O 3.1769 2.7053 4.5693
O 3.9837 5.1817 6.3857
O 4.3687 9.5378 1.4825
O 3.9248 9.0086 8.5109
O 4.2955 5.9226 3.3654
O 5.3664 8.2021 4.2839
O 5.0012 6.6644 9.3850
O 5.2069 2.4674 7.1572
O 5.6472 2.5002 2.0841
O 6.8022 8.8628 0.2853
O 6.4537 5.9905 5.3459
O 6.7092 4.9797 2.5143
```

Summary:
symmetry = P2_1, No. 4
total moment = 16.00 μB per formula unit
crystal system = monoclinic
final energy = -6.754 eV per atom
ρ = 4.74 g cm⁻³


The following is a GGA+U calculation of a geometry-optimized SrCaMn2O4 structure, from Alexandria via LeMat-Bulk.

extended XYZ file:
```
16
Lattice="5.6918 0.0000 0.0000 0.0000 5.6918 0.0000 0.0000 0.0000 7.5240" Properties=species:S:1:pos:R:3 pbc="T T T"
Sr 0.0000 0.0000 0.0000
Sr 2.8459 2.8459 3.7620
Ca 0.0000 0.0000 3.7620
Ca 2.8459 2.8459 0.0000
Mn 0.0000 2.8459 1.8810
Mn 0.0000 2.8459 5.6430
Mn 2.8459 0.0000 1.8810
Mn 2.8459 0.0000 5.6430
O 1.3441 1.3441 4.9987
O 1.3441 4.3477 2.5253
O 1.5018 1.5018 1.2367
O 1.5018 4.1900 6.2873
O 4.1900 1.5018 6.2873
O 4.1900 4.1900 1.2367
O 4.3477 1.3441 2.5253
O 4.3477 4.3477 4.9987
```

Summary:
symmetry = I-42m, No. 121
total moment = 10.00 μB per formula unit
crystal system = tetragonal
final energy = -6.934 eV per atom
ρ = 4.11 g cm⁻³